Below is a relaxed Sm2DyScO6 crystal, with properties calculated at the PBE level.

Values from the calculation:
**Density**: 6.92 g/cm³
**Space-group type**: R3 (146)
**DFT total energy**: -8.47 eV per atom

Cell lengths 5.996, 5.996, 5.996 Å; angles 57.84, 57.84, 57.84 degrees
Sites, in units of the cell vectors:
1 Sm 0.000 0.000 0.000
2 Sm 0.498 0.498 0.498
3 Dy 0.222 0.222 0.222
4 Sc 0.718 0.718 0.718
5 O 0.076 0.434 0.838
6 O 0.349 0.914 0.595
7 O 0.434 0.838 0.076
8 O 0.595 0.349 0.914
9 O 0.838 0.076 0.434
10 O 0.914 0.595 0.349